# 1
This record from the Alexandria database describes a geometry-optimized Pa2Ga3FeNi12 structure. The functional is PBE-GGA.

Values from the calculation:
symmetry	R-3m
Fermi-level density of states	0.716	states/eV per atom
formation energy	-35	meV/atom
E	-5.92	eV/atom

Cell: 8.532 8.532 8.532 Å, 43.61 43.61 43.61°
Fractional positions:
Pa 0.638 0.638 0.638
Pa 0.362 0.362 0.362
Ga 0.500 0.000 0.000
Ga 0.000 0.500 0.000
Ga 0.000 0.000 0.500
Fe 0.000 0.000 0.000
Ni 0.418 0.418 0.803
Ni 0.869 0.869 0.427
Ni 0.427 0.869 0.869
Ni 0.803 0.418 0.418
Ni 0.869 0.427 0.869
Ni 0.418 0.803 0.418
Ni 0.582 0.582 0.197
Ni 0.131 0.131 0.573
Ni 0.573 0.131 0.131
Ni 0.197 0.582 0.582
Ni 0.131 0.573 0.131
Ni 0.582 0.197 0.582



# 2
This record from the Alexandria database describes a geometry-optimized CaNbZn structure. The functional is PBE-GGA.

Values from the calculation:
ΔE to the lowest computed polymorph	31.3	kJ/mol of formula units
symmetry	P3m1
Fermi-level density of states	1.047	states/eV per atom
formation energy	203	meV/atom
E	-4.25	eV/atom

Cell: 4.770 4.770 6.920 Å, 90.00 90.00 120.00°
Fractional positions:
Nb 0.333 0.667 0.763
Nb 0.667 0.333 0.661
Ca 0.333 0.667 0.320
Ca 0.000 0.000 0.995
Zn 0.667 0.333 0.051
Zn 0.000 0.000 0.575



# 3
This record from the Alexandria database describes a geometry-optimized Ba6Te2Se3Br structure. The functional is PBE-GGA.

Values from the calculation:
symmetry	C2/m
Fermi-level density of states	0.284	states/eV per atom
E	-4.40	eV/atom

Cell: 4.811 9.670 10.798 Å, 103.62 102.87 90.00°
Fractional positions:
Ba 0.328 0.924 0.655
Ba 0.664 0.590 0.329
Ba 0.672 0.076 0.345
Ba 0.996 0.264 0.992
Ba 0.004 0.736 0.008
Ba 0.336 0.410 0.671
Te 0.836 0.672 0.672
Te 0.164 0.328 0.328
Se 0.500 0.500 0.000
Se 0.835 0.165 0.669
Se 0.165 0.835 0.331
Br 0.500 0.000 0.000



# 4
This record from the Alexandria database describes a geometry-optimized Pm6PrHo6 structure. The functional is PBE-GGA.

Values from the calculation:
symmetry	Cmmm
Fermi-level density of states	1.682	states/eV per atom
formation energy	212	meV/atom
E	-4.46	eV/atom

Cell: 6.634 6.634 11.194 Å, 90.00 90.00 115.30°
Fractional positions:
Pm 0.000 0.000 0.667
Pm 0.000 0.000 0.333
Pm 0.358 0.642 0.000
Pm 0.642 0.358 0.000
Pm 0.267 0.733 0.500
Pm 0.733 0.267 0.500
Pr 0.000 0.000 0.000
Ho 0.000 0.500 0.774
Ho 0.500 0.000 0.774
Ho 0.500 0.500 0.700
Ho 0.500 0.000 0.226
Ho 0.000 0.500 0.226
Ho 0.500 0.500 0.300



# 5
This record from the Alexandria database describes a geometry-optimized Ta2AgMo structure. The functional is PBE-GGA.

Values from the calculation:
ΔE to the lowest computed polymorph	101.4	kJ/mol of formula units
symmetry	I-4m2
Fermi-level density of states	1.181	states/eV per atom
formation energy	356	meV/atom
E	-8.99	eV/atom

Cell: 5.058 5.058 5.058 Å, 132.18 132.18 69.95°
Fractional positions:
Ag 0.500 0.500 0.000
Mo 0.750 0.250 0.500
Ta 0.000 0.000 0.000
Ta 0.250 0.750 0.500



# 6
This record from the Alexandria database describes a geometry-optimized Y2Be4Pt3Au structure. The functional is PBE-GGA.

Values from the calculation:
symmetry	P-4m2
Fermi-level density of states	0.602	states/eV per atom
formation energy	-787	meV/atom
E	-5.71	eV/atom

Cell: 4.085 4.085 9.411 Å, 90.00 90.00 90.00°
Fractional positions:
Y 0.500 0.000 0.244
Y 0.000 0.500 0.756
Be 0.500 0.500 0.000
Be 0.000 0.000 0.000
Be 0.500 0.000 0.630
Be 0.000 0.500 0.370
Pt 0.000 0.000 0.500
Pt 0.500 0.000 0.878
Pt 0.000 0.500 0.122
Au 0.500 0.500 0.500



# 7
This record from the Alexandria database describes a geometry-optimized Zr3Mn structure. The functional is PBE-GGA.

Values from the calculation:
symmetry	Imm2
Fermi-level density of states	0.677	states/eV per atom
formation energy	-7	meV/atom
E	-8.71	eV/atom

Cell: 4.939 5.728 3.298 Å, 73.27 90.00 115.54°
Fractional positions:
Mn 0.945 0.000 0.000
Zr 0.115 0.415 0.293
Zr 0.408 0.000 0.500
Zr 0.700 0.585 0.707



# 8
This record from the Alexandria database describes a geometry-optimized NaSrSi3 structure. The functional is PBE-GGA.

Values from the calculation:
ΔE to the lowest computed polymorph	485.5	kJ/mol of formula units
symmetry	Pm-3m
Fermi-level density of states	0.801	states/eV per atom
E	-3.06	eV/atom

Cell: 5.033 5.033 5.033 Å, 90.00 90.00 90.00°
Fractional positions:
Sr 0.500 0.500 0.500
Si 0.000 0.500 0.000
Si 0.000 0.000 0.500
Si 0.500 0.000 0.000
Na 0.000 0.000 0.000



# 9
This record from the Alexandria database describes a geometry-optimized Tb4MgCd3 structure. The functional is PBE-GGA.

Values from the calculation:
ΔE to the lowest computed polymorph	0.0	kJ/mol of formula units
symmetry	Pmmm
Fermi-level density of states	1.246	states/eV per atom
formation energy	-263	meV/atom
E	-3.12	eV/atom

Cell: 3.810 5.292 10.606 Å, 90.00 90.00 90.00°
Fractional positions:
Mg 0.500 0.500 0.000
Tb 0.000 0.000 0.500
Tb 0.000 0.500 0.747
Tb 0.000 0.000 0.000
Tb 0.000 0.500 0.253
Cd 0.500 0.000 0.245
Cd 0.500 0.500 0.500
Cd 0.500 0.000 0.755



# 10
This record from the Alexandria database describes a geometry-optimized MnNbV2H structure. The functional is PBE-GGA.

Values from the calculation:
symmetry	P4/mmm
Fermi-level density of states	0.740	states/eV per atom
E	-8.18	eV/atom

Cell: 4.246 4.246 3.245 Å, 90.00 90.00 90.00°
Fractional positions:
H 0.000 0.000 0.000
Nb 0.500 0.500 0.500
Mn 0.000 0.000 0.500
V 0.000 0.500 0.000
V 0.500 0.000 0.000



# 11
This record from the Alexandria database describes a geometry-optimized Th2TcN structure. The functional is PBE-GGA.

Values from the calculation:
symmetry	R-3m
Fermi-level density of states	0.544	states/eV per atom
E	-8.88	eV/atom

Cell: 3.617 3.617 7.653 Å, 76.33 76.33 60.00°
Fractional positions:
Tc 0.000 0.000 0.000
Th 0.236 0.236 0.292
Th 0.764 0.764 0.708
N 0.500 0.500 0.500



# 12
This record from the Alexandria database describes a geometry-optimized LaHgS2N structure. The functional is PBE-GGA.

Values from the calculation:
ΔE to the lowest computed polymorph	113.7	kJ/mol of formula units
symmetry	P4/mmm
Fermi-level density of states	1.228	states/eV per atom
E	-4.07	eV/atom

Cell: 5.690 5.690 4.345 Å, 90.00 90.00 90.00°
Fractional positions:
S 0.000 0.500 0.000
S 0.500 0.000 0.000
N 0.000 0.000 0.500
Hg 0.500 0.500 0.500
La 0.000 0.000 0.000



# 13
This record from the Alexandria database describes a geometry-optimized LaPrSmTl structure. The functional is PBE-GGA.

Values from the calculation:
ΔE to the lowest computed polymorph	11.0	kJ/mol of formula units
symmetry	F-43m
Fermi-level density of states	1.936	states/eV per atom
formation energy	-51	meV/atom
E	-4.25	eV/atom

Cell: 5.618 5.618 5.623 Å, 119.98 119.98 90.00°
Fractional positions:
La 0.750 0.250 0.500
Pr 0.500 0.500 0.000
Sm 0.000 0.000 0.000
Tl 0.250 0.750 0.500



# 14
This record from the Alexandria database describes a geometry-optimized RbNCl3 structure. The functional is PBE-GGA.

Values from the calculation:
ΔE to the lowest computed polymorph	122.3	kJ/mol of formula units
symmetry	Pm-3m
Fermi-level density of states	0.288	states/eV per atom
E	-2.87	eV/atom

Cell: 4.707 4.707 4.707 Å, 90.00 90.00 90.00°
Fractional positions:
N 0.000 0.000 0.000
Rb 0.500 0.500 0.500
Cl 0.000 0.500 0.000
Cl 0.000 0.000 0.500
Cl 0.500 0.000 0.000



# 15
This record from the Alexandria database describes a geometry-optimized ScGaRh2Pb structure. The functional is PBE-GGA.

Values from the calculation:
symmetry	P4/mmm
Fermi-level density of states	1.164	states/eV per atom
formation energy	171	meV/atom
E	-5.38	eV/atom

Cell: 4.608 4.997 4.608 Å, 90.00 90.00 90.00°
Fractional positions:
Pb 0.500 0.500 0.500
Sc 0.000 0.500 0.000
Rh 0.000 0.000 0.500
Rh 0.500 0.000 0.000
Ga 0.000 0.000 0.000



# 16
This record from the Alexandria database describes a geometry-optimized ScPb3 structure. The functional is PBE-GGA.

Values from the calculation:
symmetry	P4/mmm
Fermi-level density of states	0.550	states/eV per atom
formation energy	-107	meV/atom
E	-4.47	eV/atom

Cell: 4.141 4.141 6.530 Å, 90.00 90.00 90.00°
Fractional positions:
Pb 0.000 0.000 0.986
Pb 0.500 0.500 0.250
Pb 0.000 0.000 0.514
Sc 0.500 0.500 0.750



# 17
This record from the Alexandria database describes a geometry-optimized LaAl2Cl structure. The functional is PBE-GGA.

Values from the calculation:
ΔE to the lowest computed polymorph	34.3	kJ/mol of formula units
symmetry	Pmm2
Fermi-level density of states	0.616	states/eV per atom
E	-4.17	eV/atom

Cell: 4.430 3.543 6.091 Å, 90.01 90.00 90.00°
Fractional positions:
Cl 0.000 0.375 0.625
Al 0.000 0.875 0.126
Al 0.500 0.375 0.125
La 0.500 0.875 0.624



# 18
This record from the Alexandria database describes a geometry-optimized Mg2Al3Pd structure. The functional is PBE-GGA.

Values from the calculation:
symmetry	C2/m
Fermi-level density of states	0.375	states/eV per atom
formation energy	-357	meV/atom
E	-3.63	eV/atom

Cell: 5.345 5.345 5.246 Å, 90.27 120.84 119.49°
Fractional positions:
Mg 0.748 0.374 0.122
Mg 0.252 0.626 0.878
Al 0.500 0.500 0.500
Al 0.000 0.000 0.500
Al 0.500 0.000 0.500
Pd 0.000 0.000 0.000



# 19
This record from the Alexandria database describes a geometry-optimized NaMg3 structure. The functional is PBE-GGA.

Values from the calculation:
symmetry	Pm-3m
Fermi-level density of states	0.686	states/eV per atom
formation energy	860	meV/atom
E	-0.67	eV/atom

Cell: 6.032 6.032 6.032 Å, 90.00 90.00 90.00°
Fractional positions:
Mg 0.000 0.000 0.500
Mg 0.000 0.500 0.000
Mg 0.500 0.000 0.000
Na 0.000 0.000 0.000



# 20
This record from the Alexandria database describes a geometry-optimized CaTmZn structure. The functional is PBE-GGA.

Values from the calculation:
ΔE to the lowest computed polymorph	3.7	kJ/mol of formula units
symmetry	P-62m
Fermi-level density of states	0.719	states/eV per atom
formation energy	-144	meV/atom
E	-2.73	eV/atom

Cell: 4.852 7.685 7.685 Å, 120.00 90.00 90.00°
Fractional positions:
Zn 0.500 0.667 0.333
Zn 0.500 0.333 0.667
Zn 0.000 0.000 0.000
Ca 0.000 0.587 0.587
Ca 0.000 0.000 0.413
Ca 0.000 0.413 0.000
Tm 0.500 0.000 0.750
Tm 0.500 0.750 0.000
Tm 0.500 0.250 0.250



# 21
This record from the Alexandria database describes a geometry-optimized Li2SbPCO7 structure. The functional is PBE-GGA.

Values from the calculation:
ΔE to the lowest computed polymorph	0.0	kJ/mol of formula units
symmetry	P2_1/m
Fermi-level density of states	0.000	states/eV per atom
E	-6.64	eV/atom

Cell: 6.701 5.123 9.364 Å, 86.22 90.00 90.00°
Fractional positions:
Li 0.950 0.233 0.795
Li 0.550 0.233 0.795
Li 0.450 0.767 0.205
Li 0.050 0.767 0.205
Sb 0.250 0.834 0.632
Sb 0.750 0.166 0.368
P 0.750 0.752 0.629
P 0.250 0.248 0.371
C 0.250 0.826 0.915
C 0.750 0.174 0.085
O 0.750 0.151 0.952
O 0.250 0.041 0.823
O 0.250 0.607 0.852
O 0.934 0.911 0.679
O 0.566 0.911 0.679
O 0.250 0.232 0.540
O 0.750 0.469 0.689
O 0.250 0.531 0.311
O 0.750 0.768 0.460
O 0.434 0.089 0.321
O 0.066 0.089 0.321
O 0.750 0.393 0.148
O 0.750 0.959 0.177
O 0.250 0.849 0.048



# 22
This record from the Alexandria database describes a geometry-optimized TmSn2HSe4 structure. The functional is PBE-GGA.

Values from the calculation:
symmetry	P2/m
Fermi-level density of states	0.348	states/eV per atom
E	-4.20	eV/atom

Cell: 4.035 7.159 7.294 Å, 71.63 90.00 90.00°
Fractional positions:
Tm 0.000 0.500 0.500
Sn 0.000 0.000 0.000
Sn 0.500 0.000 0.500
H 0.500 0.500 0.000
Se 0.000 0.749 0.735
Se 0.000 0.251 0.265
Se 0.500 0.736 0.266
Se 0.500 0.264 0.734



# 23
This record from the Alexandria database describes a geometry-optimized SrV3In structure. The functional is PBE-GGA.

Values from the calculation:
ΔE to the lowest computed polymorph	0.0	kJ/mol of formula units
symmetry	Pm-3m
Fermi-level density of states	2.090	states/eV per atom
formation energy	1261	meV/atom
E	-5.09	eV/atom

Cell: 5.234 5.234 5.234 Å, 90.00 90.00 90.00°
Fractional positions:
Sr 0.500 0.500 0.500
In 0.000 0.000 0.000
V 0.000 0.500 0.000
V 0.000 0.000 0.500
V 0.500 0.000 0.000



# 24
This record from the Alexandria database describes a geometry-optimized Si4NiPt2 structure. The functional is PBE-GGA.

Values from the calculation:
symmetry	Pnma
Fermi-level density of states	0.344	states/eV per atom
E	-6.02	eV/atom

Cell: 2.789 12.849 11.950 Å, 90.00 90.00 90.00°
Fractional positions:
Si 0.250 0.974 0.595
Si 0.750 0.026 0.405
Si 0.750 0.526 0.095
Si 0.250 0.474 0.905
Si 0.750 0.971 0.902
Si 0.250 0.029 0.098
Si 0.250 0.529 0.402
Si 0.750 0.471 0.598
Si 0.750 0.794 0.271
Si 0.250 0.206 0.729
Si 0.250 0.706 0.771
Si 0.750 0.294 0.229
Si 0.250 0.713 0.044
Si 0.750 0.287 0.956
Si 0.750 0.787 0.544
Si 0.250 0.213 0.456
Ni 0.250 0.876 0.415
Ni 0.750 0.124 0.585
Ni 0.750 0.624 0.915
Ni 0.250 0.376 0.085
Pt 0.750 0.872 0.080
Pt 0.250 0.128 0.920
Pt 0.250 0.628 0.580
Pt 0.750 0.372 0.420
Pt 0.750 0.872 0.733
Pt 0.250 0.128 0.267
Pt 0.250 0.628 0.233
Pt 0.750 0.372 0.767